No. 1
# Zn2FeS3 | the Alexandria database | GGA-PBE | optimized geometry
# energy relative to the elements, uncorrected = -568 meV/atom
# crystal system = orthorhombic
# total magnetization = 4.0 μB/f.u.
# density of states at the Fermi level = 0.89 states/eV per atom
data_Zn2FeS3
_chemical_formula_sum 'Zn4 Fe2 S6'
_cell_length_a 3.8310
_cell_length_b 11.5116
_cell_length_c 5.4313
_cell_angle_alpha 90.00
_cell_angle_beta 90.00
_cell_angle_gamma 90.00
_space_group_name_H-M_alt 'I m m 2'
_space_group_IT_number 44
loop_
_space_group_symop_operation_xyz
'x,y,z'
'-x,-y,z'
'-x,y,z'
'x,-y,z'
'x+1/2,y+1/2,z+1/2'
'-x+1/2,-y+1/2,z+1/2'
'-x+1/2,y+1/2,z+1/2'
'x+1/2,-y+1/2,z+1/2'
loop_
_atom_site_label
_atom_site_fract_x
_atom_site_fract_y
_atom_site_fract_z
Zn1 0.0000 0.1662 0.0000
Fe1 0.0000 0.5000 0.9994
S1 0.0000 0.0000 0.7463
S2 0.0000 0.3351 0.7537

---

No. 2
# CaTeAuSeS | the Alexandria database | GGA-PBE | optimized geometry
# energy relative to the elements, uncorrected = -694 meV/atom
# crystal system = monoclinic
# total magnetization = 0.0 μB/f.u.
# density of states at the Fermi level = 0.26 states/eV per atom
# energy relative to the lowest polymorph listed for this composition = 31 kJ/mol of formula units
data_CaTeAuSeS
_chemical_formula_sum 'Ca2 Te2 Au2 Se2 S2'
_cell_length_a 10.4687
_cell_length_b 4.1510
_cell_length_c 6.8925
_cell_angle_alpha 90.00
_cell_angle_beta 119.56
_cell_angle_gamma 90.00
_space_group_name_H-M_alt 'C 1 m 1'
_space_group_IT_number 8
loop_
_space_group_symop_operation_xyz
'x,y,z'
'x,-y,z'
'x+1/2,y+1/2,z'
'x+1/2,-y+1/2,z'
loop_
_atom_site_label
_atom_site_fract_x
_atom_site_fract_y
_atom_site_fract_z
Ca1 0.0000 0.0000 0.0000
Te1 0.0949 0.0000 0.5525
Au1 0.4045 0.0000 0.3141
Se1 0.2462 0.5000 0.0849
S1 0.3609 0.0000 0.6918

---

No. 3
# Rb2HgBr | the Alexandria database | GGA-PBE | optimized geometry
# energy relative to the elements, uncorrected = -779 meV/atom
# crystal system = cubic
# total magnetization = 0.0 μB/f.u.
# density of states at the Fermi level = 0.90 states/eV per atom
# energy relative to the lowest polymorph listed for this composition = 70 kJ/mol of formula units
data_Rb2HgBr
_chemical_formula_sum 'Rb8 Hg4 Br4'
_cell_length_a 8.8118
_cell_length_b 8.8118
_cell_length_c 8.8118
_cell_angle_alpha 90.00
_cell_angle_beta 90.00
_cell_angle_gamma 90.00
_space_group_name_H-M_alt 'F m -3 m'
_space_group_IT_number 225
_space_group_name_Hall '-F 4 2 3'
loop_
_atom_site_label
_atom_site_fract_x
_atom_site_fract_y
_atom_site_fract_z
Rb1 0.2500 0.2500 0.2500
Hg1 0.0000 0.0000 0.0000
Br1 0.0000 0.0000 0.5000

---

No. 4
# Dy3Ga9Ru2 | the Alexandria database | GGA-PBE | optimized geometry
# ΔE_f = -8.07 eV/f.u.
# crystal system = orthorhombic
# total magnetization = 0.0 μB/f.u.
# density of states at the Fermi level = 0.37 states/eV per atom
data_Dy3Ga9Ru2
_chemical_formula_sum 'Dy6 Ga18 Ru4'
_cell_length_a 4.2595
_cell_length_b 9.4445
_cell_length_c 12.4945
_cell_angle_alpha 90.00
_cell_angle_beta 90.00
_cell_angle_gamma 90.00
_space_group_name_H-M_alt 'I m m m'
_space_group_IT_number 71
_space_group_name_Hall '-I 2 2'
loop_
_atom_site_label
_atom_site_fract_x
_atom_site_fract_y
_atom_site_fract_z
Dy1 0.0000 0.0000 0.0000
Dy2 0.0000 0.0000 0.3012
Ga1 0.0000 0.2831 0.1318
Ga2 0.0000 0.3641 0.3467
Ga3 0.0000 0.5000 0.0000
Ru1 0.0000 0.1743 0.5000

---

No. 5
# CrB | the Alexandria database | GGA-PBE | optimized geometry
# ΔE_f = -0.20 eV/f.u.
# crystal system = monoclinic
# total magnetization = 0.0 μB/f.u.
# density of states at the Fermi level = 0.27 states/eV per atom
data_CrB
_chemical_formula_sum 'Cr4 B4'
_cell_length_a 4.5841
_cell_length_b 2.8566
_cell_length_c 5.6045
_cell_angle_alpha 90.00
_cell_angle_beta 97.55
_cell_angle_gamma 90.00
_space_group_name_H-M_alt 'C 1 2/m 1'
_space_group_IT_number 12
loop_
_space_group_symop_operation_xyz
'x,y,z'
'-x,-y,-z'
'-x,y,-z'
'x,-y,z'
'x+1/2,y+1/2,z'
'-x+1/2,-y+1/2,-z'
'-x+1/2,y+1/2,-z'
'x+1/2,-y+1/2,z'
loop_
_atom_site_label
_atom_site_fract_x
_atom_site_fract_y
_atom_site_fract_z
Cr1 0.2240 0.0000 0.3239
B1 0.1620 0.0000 0.9379